Arrangement P

VASP calculation (PBE) on an optimized crystal structure of Lu2Hg2O5.

Results
**V**: 139.29 Å³/cell

Lattice parameters (Å, degrees): 4.0306 4.0306 8.5739 90.00 90.00 90.00
Last column: nearest neighbours and their distance in Å.
Space group P4/mmm (No. 123)
Asymmetric unit:
Lu1 0.0000 0.0000 0.2477 x2  5 O 2.12-2.13
Hg1 0.5000 0.5000 0.0000 x1  4 O 2.85
Hg2 0.5000 0.5000 0.5000 x1  8 O 2.49
O1 0.0000 0.0000 0.0000 x1  2 Lu 2.12
O2 0.0000 0.5000 0.3286 x4  2 Lu 2.13

***

Arrangement Q

VASP calculation (PBE) on an optimized crystal structure of Lu2Hg2O5.

Results
**V**: 129.96 Å³/cell

Lattice parameters (Å, degrees): 4.2670 4.2670 7.1376 90.00 90.00 90.00
Last column: nearest neighbours and their distance in Å.
Space group P4/mmm (No. 123)
Asymmetric unit:
Lu1 0.0000 0.0000 0.0000 x1  8 O 2.59
Lu2 0.0000 0.0000 0.5000 x1  12 O 2.99-3.02
Hg1 0.5000 0.5000 0.1927 x2  5 O 2.14-2.19
O1 0.0000 0.5000 0.2059 x4  2 Hg 2.14
O2 0.5000 0.5000 0.5000 x1  2 Hg 2.19

***

It is arrangement P that is the most stable of them.

***

Arrangement P

VASP calculation (PBE) on an optimized crystal structure of LuHgSeO.

Results
**V**: 351.07 Å³/cell

Lattice parameters (Å, degrees): 7.5407 7.0505 6.6086 90.00 92.31 90.00
Last column: nearest neighbours and their distance in Å.
Space group P2_1/c (No. 14)
Asymmetric unit:
Lu1 0.0361 0.1382 0.3064 x4  3 O 2.10-2.14
Hg1 0.4838 0.1892 0.4934 x4  1 Se 2.64, 1 Hg 2.68
Se1 0.2563 0.0259 0.9631 x4  1 Hg 2.64
O1 0.0571 0.6523 0.8992 x4  3 Lu 2.10-2.14

***

Arrangement Q

VASP calculation (PBE) on an optimized crystal structure of LuHgSeO.

Results
**V**: 222.88 Å³/cell

Lattice parameters (Å, degrees): 4.5520 8.8434 5.5367 90.00 90.00 90.00
Last column: nearest neighbours and their distance in Å.
Space group Pmc2_1 (No. 26)
Asymmetric unit:
Lu1 0.0000 0.1312 0.0000 x2  2 O 2.00-2.01
Hg1 0.5000 0.3029 0.5830 x2  2 Se 2.74-2.80, 2 O 3.06
Se1 0.5000 0.3058 0.0884 x2  2 Hg 2.74-2.80, 2 Lu 2.79
O1 0.0000 0.0755 0.6497 x2  2 Lu 2.00-2.01

***

It is arrangement P that is the most stable of them.

***

Arrangement P

VASP calculation (PBE) on an optimized crystal structure of LuHgSeO.

Results
**V**: 402.95 Å³/cell

Lattice parameters (Å, degrees): 5.5800 5.5748 12.9600 90.00 91.80 90.00
Last column: nearest neighbours and their distance in Å.
Space group P2_1 (No. 4)
Asymmetric unit:
Lu1 0.0031 0.0000 0.0766 x2  4 O 2.20-2.23
Lu2 0.4954 0.0013 0.9220 x2  4 O 2.19-2.23
Hg1 0.1390 0.2747 0.4965 x2  2 Hg 3.19, 2 Se 3.39
Hg2 0.4980 0.0191 0.2630 x2  2 Se 2.48
Se1 0.1852 0.3326 0.2376 x2  1 Hg 2.48
Se2 0.1921 0.2048 0.7560 x2  1 Hg 2.48
O1 0.2498 0.7494 0.0000 x2  4 Lu 2.20-2.23
O2 0.2547 0.2477 0.9997 x2  4 Lu 2.19-2.23

***

Arrangement Q

VASP calculation (PBE) on an optimized crystal structure of LuHgSeO.

Results
**V**: 157.05 Å³/cell

Lattice parameters (Å, degrees): 3.9479 3.9479 10.0767 90.00 90.00 90.00
Last column: nearest neighbours and their distance in Å.
Space group P4/nmm (No. 129, origin choice 2)
Asymmetric unit:
Lu1 0.2500 0.2500 0.0993 x2  4 O 2.21
Hg1 0.2500 0.7500 0.5000 x2  4 Hg 2.79
Se1 0.2500 0.2500 0.7439 x2  4 Hg 3.15, 4 Lu 3.21, 4 O 3.25
O1 0.2500 0.7500 0.0000 x2  4 Lu 2.21

***

It is arrangement P that is the most stable of them.

***

Arrangement P

VASP calculation (PBE) on an optimized crystal structure of Mg5Hg3.

Results
**V**: 1392.54 Å³/cell

Lattice parameters (Å, degrees): 28.9238 3.5605 13.5218 90.00 90.00 90.00
Last column: nearest neighbours and their distance in Å.
Space group Pnma (No. 62)
Asymmetric unit:
Mg1 0.0107 0.2500 0.1002 x4  5 Hg 2.97-3.05, 4 Mg 3.29-3.30
Mg2 0.0318 0.2500 0.4179 x4  5 Hg 2.91-3.01
Mg3 0.0398 0.2500 0.7146 x4  4 Hg 2.79-2.86
Mg4 0.1050 0.7500 0.0661 x4  5 Hg 2.88-2.98, 2 Mg 3.13
Mg5 0.1252 0.7500 0.7817 x4  4 Hg 2.94-2.98, 2 Mg 3.18
Mg6 0.1341 0.7500 0.3906 x4  5 Hg 2.95-3.10, 2 Mg 3.17
Mg7 0.1496 0.2500 0.5821 x4  5 Hg 2.81-2.93
Mg8 0.1775 0.2500 0.9552 x4  3 Hg 2.85-3.12, 4 Mg 3.13-3.17
Mg9 0.2155 0.7500 0.1317 x4  5 Hg 2.83-2.95
Mg10 0.2288 0.2500 0.3439 x4  5 Hg 2.89-2.92
Hg1 0.0554 0.7500 0.2508 x4  7 Mg 2.79-3.00
Hg2 0.0713 0.2500 0.9154 x4  9 Mg 2.86-3.12
Hg3 0.0719 0.7500 0.5651 x4  8 Mg 2.85-3.01
Hg4 0.1470 0.2500 0.2184 x4  7 Mg 2.91-2.98, 2 Hg 3.22
Hg5 0.2048 0.2500 0.7527 x4  7 Mg 2.81-2.94
Hg6 0.2239 0.7500 0.5151 x4  8 Mg 2.92-3.10

***

Arrangement Q

VASP calculation (PBE) on an optimized crystal structure of Mg5Hg3.

Results
**V**: 350.81 Å³/cell

Lattice parameters (Å, degrees): 8.2501 8.2501 5.9515 90.00 90.00 120.00
Last column: nearest neighbours and their distance in Å.
Space group P6_3/mcm (No. 193)
Asymmetric unit:
Mg1 0.0000 0.2508 0.2500 x6  3 Hg 2.82-2.97
Mg2 0.3333 0.6667 0.0000 x4  6 Hg 2.95, 2 Mg 2.98
Hg1 0.0000 0.3887 0.7500 x6  7 Mg 2.82-2.97

***

It is arrangement Q that is the most stable of them.

***

Arrangement P

VASP calculation (PBE) on an optimized crystal structure of Mg3Hg2.

Results
**V**: 1763.00 Å³/cell

Lattice parameters (Å, degrees): 10.8868 10.8868 14.8748 90.00 90.00 90.00
Last column: nearest neighbours and their distance in Å.
Space group I4/mcm (No. 140)
Asymmetric unit:
Mg1 0.0000 0.5000 0.1390 x8  4 Hg 2.73-2.88
Mg2 0.0661 0.2057 0.1391 x32  6 Hg 2.82-3.13
Mg3 0.1701 0.3299 0.5000 x8  3 Hg 2.90-3.07
Hg1 0.0000 0.0000 0.0000 x4  8 Mg 3.13
Hg2 0.0000 0.0000 0.2500 x4  8 Mg 2.87
Hg3 0.1304 0.3696 0.0000 x8  7 Mg 2.82-3.07
Hg4 0.1689 0.3311 0.3051 x16  8 Mg 2.73-3.03, 1 Hg 2.99

***

Arrangement Q

VASP calculation (PBE) on an optimized crystal structure of Mg3Hg2.

Results
**V**: 806.09 Å³/cell

Lattice parameters (Å, degrees): 7.0084 7.0084 18.9500 90.00 90.00 120.00
Last column: nearest neighbours and their distance in Å.
Space group R-3c (No. 167, hexagonal axes)
Asymmetric unit:
Mg1 0.0000 0.3025 0.2500 x18  4 Hg 2.75-2.85
Hg1 0.0000 0.0000 0.1497 x12  6 Mg 2.75-2.85

***

It is arrangement P that is the most stable of them.